{
  "formula": "ScCu2Au8",
  "functional": "PBE",
  "state": "relaxed",
  "sg": "C2/m, No. 12",
  "ef_ev_per_atom": -0.241,
  "cell": [[4.131, 0.000, 0.000], [0.000, 6.603, 0.226], [-2.065, -2.572, 6.855]],
  "species": ["Sc", "Au", "Au", "Au", "Au", "Au", "Au", "Au", "Au", "Cu", "Cu"],
  "fractional_positions": [[0.500, 0.000, 0.000], [0.145, 0.206, 0.291], [0.855, 0.794, 0.709], [0.396, 0.537, 0.793], [0.045, 0.730, 0.089], [0.681, 0.924, 0.363], [0.604, 0.463, 0.207], [0.319, 0.076, 0.637], [0.955, 0.270, 0.911], [0.223, 0.640, 0.446], [0.777, 0.360, 0.554]]
}